[1]
18
Lattice="-4.6680 4.6757 4.8967 4.6680 -4.6757 4.8967 4.6680 4.6757 -4.8967" Properties=species:S:1:pos:R:3 comment="Er12MgCo5 (PBE-GGA, optimized geometry)" e_form_ev_per_atom=-0.195 final_energy_ev_per_atom=-5.299 pbc="T T T"
Er 4.6680 2.8723 -2.8578
Er 2.7044 1.7189 0.0000
Er 6.6317 1.7189 0.0000
Er 1.8035 4.6757 -1.8234
Er 2.8645 0.0000 3.0733
Er 0.0000 1.8035 2.0389
Er 4.6680 2.8723 2.8578
Er 1.8035 4.6757 1.8234
Er 2.8645 0.0000 6.7202
Er -1.9637 2.9568 4.8967
Er 1.9637 2.9568 4.8967
Er 0.0000 1.8035 7.7546
Mg 0.0000 0.0000 4.8967
Co 0.0000 0.0000 0.0000
Co 4.6680 0.0000 1.1040
Co 0.0000 3.5222 0.0000
Co 0.0000 5.8292 0.0000
Co 0.0000 4.6757 3.7927

[2]
5
Lattice="4.1407 0.0000 0.0000 0.0000 4.1407 0.0000 0.0000 0.0000 6.7966" Properties=species:S:1:pos:R:3 comment="KMnAlH2 (PBE-GGA, optimized geometry)" final_energy_ev_per_atom=-2.993 pbc="T T T"
K 0.0000 0.0000 0.0000
Mn 2.0703 2.0703 0.0000
Al 0.0000 0.0000 3.3983
H 0.0000 2.0703 3.3983
H 2.0703 0.0000 3.3983

[3]
5
Lattice="-2.1001 2.1001 6.7287 2.1001 -2.1001 6.7287 2.1001 2.1001 -6.7287" Properties=species:S:1:pos:R:3 comment="TlZn2Hg2 (PBE-GGA, optimized geometry)" e_form_ev_per_atom=0.089 final_energy_ev_per_atom=-1.014 pbc="T T T"
Tl 0.0000 0.0000 0.0000
Zn 2.1001 0.0000 3.3643
Zn 0.0000 2.1001 3.3643
Hg 0.0000 0.0000 5.2253
Hg 0.0000 0.0000 8.2321

[4]
4
Lattice="1.5285 0.8825 8.3694 -1.5285 0.8825 8.3694 0.0000 -1.7649 8.3694" Properties=species:S:1:pos:R:3 comment="LiFe2Te (PBE-GGA, optimized geometry)" formation_energy_uncorrected_ev_per_atom=0.61 final_energy_ev_per_atom=-4.881 pbc="T T T"
Li 0.0000 0.0000 0.0000
Fe 0.0000 0.0000 6.2154
Fe 0.0000 0.0000 18.8927
Te 0.0000 0.0000 12.5541

[5]
5
Lattice="5.7010 0.0000 0.0000 0.0000 5.7010 0.0000 0.0000 0.0000 5.7010" Properties=species:S:1:pos:R:3 comment="CsAl3V (PBE-GGA, optimized geometry)" e_form_ev_per_atom=2.211 final_energy_ev_per_atom=-2.029 pbc="T T T"
Cs 0.0000 0.0000 0.0000
Al 0.0000 0.0000 2.8505
Al 0.0000 2.8505 0.0000
Al 2.8505 0.0000 0.0000
V 2.8505 2.8505 2.8505

[6]
12
Lattice="3.2174 -5.5761 0.0000 3.2174 5.5761 0.0000 -2.1433 0.0000 6.6767" Properties=species:S:1:pos:R:3 comment="Er6C2SCl3 (PBE-GGA, optimized geometry)" formation_energy_uncorrected_ev_per_atom=-1.26 final_energy_ev_per_atom=-5.888 pbc="T T T"
Er -0.0710 1.9860 5.4096
Er 0.9265 0.0000 1.2691
Er -0.0710 -1.9860 5.4096
Er 4.3625 1.9860 1.2671
Er 3.3651 0.0000 5.4076
Er 4.3625 -1.9860 1.2671
C 3.2174 3.7193 0.0000
C 3.2174 -3.7193 0.0000
S 3.2174 0.0000 0.0000
Cl -1.0717 0.0000 3.3383
Cl 2.1458 1.8636 3.3383
Cl 2.1458 -1.8636 3.3383

Please write out number 1 again, unchanged.
18
Lattice="-4.6680 4.6757 4.8967 4.6680 -4.6757 4.8967 4.6680 4.6757 -4.8967" Properties=species:S:1:pos:R:3 comment="Er12MgCo5 (PBE-GGA, optimized geometry)" e_form_ev_per_atom=-0.195 final_energy_ev_per_atom=-5.299 pbc="T T T"
Er 4.6680 2.8723 -2.8578
Er 2.7044 1.7189 0.0000
Er 6.6317 1.7189 0.0000
Er 1.8035 4.6757 -1.8234
Er 2.8645 0.0000 3.0733
Er 0.0000 1.8035 2.0389
Er 4.6680 2.8723 2.8578
Er 1.8035 4.6757 1.8234
Er 2.8645 0.0000 6.7202
Er -1.9637 2.9568 4.8967
Er 1.9637 2.9568 4.8967
Er 0.0000 1.8035 7.7546
Mg 0.0000 0.0000 4.8967
Co 0.0000 0.0000 0.0000
Co 4.6680 0.0000 1.1040
Co 0.0000 3.5222 0.0000
Co 0.0000 5.8292 0.0000
Co 0.0000 4.6757 3.7927

Please write out number 1 again, unchanged.
18
Lattice="-4.6680 4.6757 4.8967 4.6680 -4.6757 4.8967 4.6680 4.6757 -4.8967" Properties=species:S:1:pos:R:3 comment="Er12MgCo5 (PBE-GGA, optimized geometry)" e_form_ev_per_atom=-0.195 final_energy_ev_per_atom=-5.299 pbc="T T T"
Er 4.6680 2.8723 -2.8578
Er 2.7044 1.7189 0.0000
Er 6.6317 1.7189 0.0000
Er 1.8035 4.6757 -1.8234
Er 2.8645 0.0000 3.0733
Er 0.0000 1.8035 2.0389
Er 4.6680 2.8723 2.8578
Er 1.8035 4.6757 1.8234
Er 2.8645 0.0000 6.7202
Er -1.9637 2.9568 4.8967
Er 1.9637 2.9568 4.8967
Er 0.0000 1.8035 7.7546
Mg 0.0000 0.0000 4.8967
Co 0.0000 0.0000 0.0000
Co 4.6680 0.0000 1.1040
Co 0.0000 3.5222 0.0000
Co 0.0000 5.8292 0.0000
Co 0.0000 4.6757 3.7927